1.
DFT (PBE) results for a geometry-optimized AcLa3NdTm structure.

abc: 21.1267 5.9803 7.1075
angles: 90.00 91.51 90.00
Space group C2/m (No. 12)
Asymmetric unit:
Ac (0.1489, 0.0000, 0.0313) (multiplicity 4)
La (0.0147, 0.0000, 0.7467) (multiplicity 4)
La (0.1592, 0.5000, 0.7465) (multiplicity 4)
La (0.2187, 0.5000, 0.2846) (multiplicity 4)
Nd (0.0574, 0.5000, 0.2827) (multiplicity 4)
Tm (0.1405, 0.0000, 0.4918) (multiplicity 4)

Results
- ρ: 7.08 g/cm³
- Raw total energy: -108.49 eV for the cell shown

=====

2.
DFT (PBE) results for a geometry-optimized TlSiW structure.

abc: 3.4970 4.6607 14.5074
angles: 90.00 90.00 90.00
Space group Fmm2 (No. 42)
Asymmetric unit:
Tl (0.0000, 0.0000, 0.0000) (multiplicity 4)
Si (0.0000, 0.0000, 0.3036) (multiplicity 4)
W (0.0000, 0.0000, 0.6793) (multiplicity 4)

Results
- ρ: 11.69 g/cm³
- Uncorrected formation energy: 16.1 kcal/mol of atoms
- Relative energy among the computed polymorphs: 174 meV/atom

=====

3.
DFT (PBE) results for a geometry-optimized Cs4CeBr7 structure.

abc: 26.6206 5.8355 8.2120
angles: 90.00 107.05 90.00
Space group C2/m (No. 12)
Asymmetric unit:
Cs (0.0842, 0.0000, 0.1537) (multiplicity 4)
Cs (0.2045, 0.0000, 0.7285) (multiplicity 4)
Ce (0.0000, 0.5000, 0.5000) (multiplicity 2)
Br (0.0000, 0.0000, 0.5000) (multiplicity 2)
Br (0.0491, 0.5000, 0.8624) (multiplicity 4)
Br (0.1047, 0.5000, 0.4529) (multiplicity 4)
Br (0.2161, 0.0000, 0.1889) (multiplicity 4)

Results
- ρ: 3.35 g/cm³
- Uncorrected formation energy: -41.1 kcal/mol of atoms

=====

4.
DFT (PBE) results for a geometry-optimized Na2Ga2Sn structure.

abc: 4.1924 4.1924 13.8228
angles: 90.00 90.00 90.00
Space group I4/mmm (No. 139)
Asymmetric unit:
Na (0.0000, 0.5000, 0.2500) (multiplicity 4)
Ga (0.0000, 0.0000, 0.0901) (multiplicity 4)
Sn (0.0000, 0.0000, 0.5000) (multiplicity 2)

Results
- ρ: 4.16 g/cm³
- Relative energy among the computed polymorphs: 155 meV/atom